1.
First-principles (SCAN) data for SrRh2W at its PBEsol-relaxed geometry, as listed in Alexandria via LeMat-Bulk.

Cell and atoms, written as POSCAR:
```
SrRh2W
1.0
-0.948 -1.710 -4.116
3.293 -0.367 -3.129
1.576 -4.110 -1.178
Rh Sr W
2 1 1
Direct
0.000 0.000 0.000
0.750 0.750 0.750
0.500 0.500 0.500
0.250 0.250 0.250
```

Values from the calculation:
energy above the most stable polymorph in this dataset	650.2	meV per atom
mass density	11.85	g/cm³

2.
First-principles (SCAN) data for SrYRh at its PBEsol-relaxed geometry, as listed in Alexandria via LeMat-Bulk.

Cell and atoms, written as POSCAR:
```
SrYRh
1.0
-1.041 2.578 3.888
0.181 -2.022 4.327
3.465 1.213 3.062
Rh Sr Y
1 1 1
Direct
0.000 0.000 0.000
0.500 0.500 0.500
0.750 0.750 0.750
```

Values from the calculation:
energy above the most stable polymorph in this dataset	0.0	meV per atom
mass density	6.01	g/cm³

3.
First-principles (SCAN) data for Sr2YRh at its PBEsol-relaxed geometry, as listed in Alexandria via LeMat-Bulk.

Cell and atoms, written as POSCAR:
```
Sr2YRh
1.0
4.474 0.000 0.000
0.000 4.474 0.000
0.000 0.000 5.458
Rh Sr Y
1 2 1
Direct
0.000 0.000 0.500
0.000 0.500 0.000
0.500 0.000 0.000
0.500 0.500 0.500
```

Values from the calculation:
mass density	5.58	g/cm³

4.
First-principles (SCAN) data for SrZn2Rh2 at its PBEsol-relaxed geometry, as listed in Alexandria via LeMat-Bulk.

Cell and atoms, written as POSCAR:
```
SrZn2Rh2
1.0
-0.433 -1.489 3.956
1.277 -3.837 -1.304
4.425 3.933 -0.317
Sr Zn Rh
1 2 2
Direct
0.000 0.000 0.000
0.250 0.750 0.500
0.750 0.250 0.500
0.380 0.380 0.760
0.620 0.620 0.240
```

Values from the calculation:
mass density	7.64	g/cm³

5.
First-principles (SCAN) data for SrZnRh2 at its PBEsol-relaxed geometry, as listed in Alexandria via LeMat-Bulk.

Cell and atoms, written as POSCAR:
```
SrZnRh2
1.0
3.010 0.000 0.000
0.000 4.667 0.016
0.000 -1.803 4.794
Rh Sr Zn
2 1 1
Direct
0.000 0.000 0.000
0.500 0.000 0.500
0.500 0.500 0.000
0.000 0.500 0.500
```

Values from the calculation:
mass density	8.84	g/cm³

6.
First-principles (SCAN) data for SrZnRh2 at its PBEsol-relaxed geometry, as listed in Alexandria via LeMat-Bulk.

Cell and atoms, written as POSCAR:
```
SrZnRh2
1.0
-2.161 -0.084 1.914
-3.228 -0.197 -4.117
2.908 -4.322 1.147
Rh Sr Zn
2 1 1
Direct
0.000 0.000 0.500
0.500 0.500 0.500
0.500 0.000 0.000
0.000 0.500 0.000
```

Values from the calculation:
mass density	8.84	g/cm³

7.
First-principles (SCAN) data for SrZn2Rh at its PBEsol-relaxed geometry, as listed in Alexandria via LeMat-Bulk.

Cell and atoms, written as POSCAR:
```
SrZn2Rh
1.0
-3.803 -0.773 1.897
-0.240 -2.761 3.314
-0.468 2.812 5.125
Sr Zn Rh
1 2 1
Direct
0.757 0.757 0.730
0.947 0.947 0.159
0.239 0.239 0.282
0.566 0.566 0.302
```

Values from the calculation:
mass density	6.22	g/cm³

8.
First-principles (SCAN) data for SrZn2Rh at its PBEsol-relaxed geometry, as listed in Alexandria via LeMat-Bulk.

Cell and atoms, written as POSCAR:
```
SrZn2Rh
1.0
-3.019 2.278 1.977
-1.067 -2.651 -3.179
1.031 -2.937 4.957
Sr Zn Rh
1 2 1
Direct
0.000 0.000 0.500
0.802 0.603 0.905
0.198 0.397 0.095
0.500 0.000 0.000
```

Values from the calculation:
mass density	6.35	g/cm³

9.
First-principles (SCAN) data for SrZnRh at its PBEsol-relaxed geometry, as listed in Alexandria via LeMat-Bulk.

Cell and atoms, written as POSCAR:
```
SrZnRh
1.0
-1.955 2.612 2.717
-2.236 -2.928 -2.111
0.667 -2.790 3.163
Sr Zn Rh
1 1 1
Direct
0.333 0.667 0.000
0.667 0.333 0.500
0.000 0.000 0.500
```

Values from the calculation:
mass density	6.37	g/cm³

10.
First-principles (SCAN) data for Sr2ZrRh at its PBEsol-relaxed geometry, as listed in Alexandria via LeMat-Bulk.

Cell and atoms, written as POSCAR:
```
Sr2ZrRh
1.0
-3.194 -0.297 0.973
0.452 -4.883 -0.004
1.768 0.158 5.850
Rh Sr Zr
1 2 1
Direct
0.500 0.500 0.500
0.000 0.000 0.734
0.000 0.000 0.266
0.500 0.500 0.000
```

Values from the calculation:
energy above the most stable polymorph in this dataset	88.7	meV per atom
mass density	6.10	g/cm³

11.
First-principles (SCAN) data for Sr2ZrRh at its PBEsol-relaxed geometry, as listed in Alexandria via LeMat-Bulk.

Cell and atoms, written as POSCAR:
```
Sr2ZrRh
1.0
5.168 0.000 0.000
2.584 4.476 0.000
2.584 1.492 4.220
Rh Sr Zr
1 2 1
Direct
0.500 0.500 0.500
0.000 0.000 0.000
0.750 0.750 0.750
0.250 0.250 0.250
```

Values from the calculation:
energy above the most stable polymorph in this dataset	0.0	meV per atom
mass density	6.28	g/cm³

12.
First-principles (SCAN) data for TaRh at its PBEsol-relaxed geometry, as listed in Alexandria via LeMat-Bulk.

Cell and atoms, written as POSCAR:
```
TaRh
1.0
-2.716 0.299 0.713
0.939 -1.807 4.336
1.808 4.875 -0.750
Rh Ta
2 2
Direct
0.373 0.205 0.746
0.627 0.795 0.254
0.881 0.710 0.762
0.119 0.290 0.238
```

Values from the calculation:
mass density	15.24	g/cm³

For reference, formation energy from the elements by record: 0.84 0.30 0.18 -0.35 0.11 0.16 -0.42 -0.42 -0.38 0.49 0.40 -0.37 eV per atom.